# 1
Here is TaSCl2 after structural relaxation from the Alexandria database. Energies are from PBE.

Results
distance to the lowest polymorph of the same formula = 0.321 eV per atom
VASP energy = -0.206 hartree per atom
crystal system = tetragonal
formation energy from raw total energies = -67 kJ/mol of atoms
space group = I-42d, No. 122

Cell lengths 9.0689, 9.0689, 6.8317 Å; angles 48.41, 48.41, 90.00 degrees
Fractional positions:
S (0.5000, 0.5000, 0.0000)
S (0.2500, 0.7500, 0.5000)
Cl (0.7699, 0.1250, 0.2500)
Cl (0.9801, 0.6250, 0.2500)
Cl (0.3750, 0.2301, 0.7500)
Cl (0.8750, 0.0199, 0.7500)
Ta (0.0000, 0.0000, 0.0000)
Ta (0.7500, 0.2500, 0.5000)

---

# 2
Here is NiW2Se after structural relaxation from the Alexandria database. Energies are from PBE.

Results
VASP energy = -0.301 hartree per atom
crystal system = tetragonal
formation energy from raw total energies = 59 kJ/mol of atoms
space group = I-4m2, No. 119

Cell lengths 4.8837, 4.8837, 4.8837 Å; angles 133.73, 133.73, 67.50 degrees
Fractional positions:
Ni (0.5000, 0.5000, 0.0000)
Se (0.7500, 0.2500, 0.5000)
W (0.0000, 0.0000, 0.0000)
W (0.2500, 0.7500, 0.5000)

---

# 3
Here is PmZnPtO4 after structural relaxation from the Alexandria database. Energies are from PBE.

Results
VASP energy = -0.225 hartree per atom
crystal system = orthorhombic
formation energy from raw total energies = -150 kJ/mol of atoms
space group = Imma, No. 74

Cell lengths 6.4331, 6.5101, 7.2628 Å; angles 123.90, 90.00, 119.61 degrees
Fractional positions:
Pm (0.5000, 0.0000, 0.5000)
Pm (0.5000, 0.0000, 0.0000)
Zn (0.9086, 0.8172, 0.1586)
Zn (0.0914, 0.1828, 0.8414)
Pt (0.5000, 0.5000, 0.5000)
Pt (0.0000, 0.5000, 0.5000)
O (0.7710, 0.5420, 0.7038)
O (0.2359, 0.9193, 0.2096)
O (0.6834, 0.9193, 0.2096)
O (0.7710, 0.5420, 0.3381)
O (0.2290, 0.4580, 0.6619)
O (0.7641, 0.0807, 0.7904)
O (0.3166, 0.0807, 0.7904)
O (0.2290, 0.4580, 0.2962)

---

# 4
Here is CsScTlBi2 after structural relaxation from the Alexandria database. Energies are from PBE.

Results
VASP energy = -0.135 hartree per atom
crystal system = tetragonal
space group = P4/mmm, No. 123
formation energy from the elements = -0.2241 eV/atom

Cell lengths 5.7426, 5.7426, 5.9312 Å; angles 90.00, 90.00, 90.00 degrees
Fractional positions:
Cs (0.5000, 0.5000, 0.5000)
Sc (0.0000, 0.0000, 0.0000)
Tl (0.0000, 0.0000, 0.5000)
Bi (0.0000, 0.5000, 0.0000)
Bi (0.5000, 0.0000, 0.0000)

---

Copy entry 2 word for word.
Here is NiW2Se after structural relaxation from the Alexandria database. Energies are from PBE.

Results
VASP energy = -0.301 hartree per atom
crystal system = tetragonal
formation energy from raw total energies = 59 kJ/mol of atoms
space group = I-4m2, No. 119

Cell lengths 4.8837, 4.8837, 4.8837 Å; angles 133.73, 133.73, 67.50 degrees
Fractional positions:
Ni (0.5000, 0.5000, 0.0000)
Se (0.7500, 0.2500, 0.5000)
W (0.0000, 0.0000, 0.0000)
W (0.2500, 0.7500, 0.5000)